Pm2Zn17 | PBE | optimized geometry

Lattice parameters (Å, degrees): 6.7996 6.7996 6.7996 82.81 82.81 82.81
Fractional positions:
Pm 0.3352 0.3352 0.3352
Pm 0.6648 0.6648 0.6648
Zn 0.5000 0.0000 0.0000
Zn 0.7058 0.2942 0.0000
Zn 0.0000 0.5000 0.0000
Zn 0.2942 0.7058 0.0000
Zn 0.0989 0.0989 0.0989
Zn 0.6488 0.6488 0.1618
Zn 0.7058 0.0000 0.2942
Zn 0.0000 0.7058 0.2942
Zn 0.8382 0.3512 0.3512
Zn 0.3512 0.8382 0.3512
Zn 0.0000 0.0000 0.5000
Zn 0.6488 0.1618 0.6488
Zn 0.1618 0.6488 0.6488
Zn 0.2942 0.0000 0.7058
Zn 0.0000 0.2942 0.7058
Zn 0.3512 0.3512 0.8382
Zn 0.9011 0.9011 0.9011

- Magnetization: 0.000 μB per atom
- SG: R-3m
- ΔH_f (0 K): -0.259 eV per atom
- Calculated volume: 307.5 Å³/f.u.
- VASP energy: -1.8899 eV/atom

=====

PmZn | PBE | optimized geometry

Lattice parameters (Å, degrees): 5.1077 9.8224 4.9896 90.00 90.00 74.93
Fractional positions:
Pm 0.4967 0.1791 0.0000
Pm 0.8758 0.4209 0.0000
Pm 0.6803 0.8000 0.0000
Pm 0.0177 0.1409 0.5000
Pm 0.3586 0.4591 0.5000
Zn 0.2660 0.6328 0.0000
Zn 0.0989 0.9672 0.0000
Zn 0.7736 0.6282 0.5000
Zn 0.1635 0.8000 0.5000
Zn 0.6020 0.9718 0.5000

- Magnetization: 0.000 μB per atom
- SG: Amm2
- ΔH_f (0 K): -0.203 eV per atom
- Calculated volume: 48.3 Å³/f.u.
- VASP energy: -3.2079 eV/atom

=====

PmZn | PBE | optimized geometry

Lattice parameters (Å, degrees): 8.3879 6.8332 5.1888 90.00 90.00 101.04
Fractional positions:
Pm 0.7331 0.1798 0.0000
Pm 0.2831 0.3144 0.0000
Pm 0.6526 0.6685 0.0000
Pm 0.5696 0.3870 0.5000
Pm 0.9391 0.7412 0.5000
Pm 0.4891 0.8758 0.5000
Zn 0.0034 0.5372 0.0000
Zn 0.2823 0.8163 0.0000
Zn 0.0102 0.9651 0.0000
Zn 0.2120 0.0904 0.5000
Zn 0.9398 0.2392 0.5000
Zn 0.2188 0.5183 0.5000

- Magnetization: 0.001 μB per atom
- SG: P2_1/m
- ΔH_f (0 K): -0.122 eV per atom
- Calculated volume: 48.7 Å³/f.u.
- VASP energy: -3.1268 eV/atom